(1)
A plane-wave DFT calculation with GGA-PBE was carried out for a relaxed In2SnAu7 crystal.

Summary:
formation energy from the elements	0.1	eV per formula unit
DFT total energy	-3.228	eV/atom

a = 7.5176 Å, b = 15.5033 Å, c = 4.1449 Å
α = 90.00°, β = 90.00°, γ = 90.00°
Space group Cmmm (No. 65)
One atom of each set of equivalent atoms:
In1 0.0000 0.1912 0.0000 x4
Sn1 0.0000 0.5000 0.5000 x2
Au1 0.0000 0.0000 0.0000 x2
Au2 0.0000 0.3045 0.5000 x4
Au3 0.1902 0.4018 0.0000 x8

---

(2)
A plane-wave DFT calculation with GGA-PBE was carried out for a relaxed In3SnAu12 crystal.

Summary:
formation energy from the elements	-1.7	eV per formula unit
DFT total energy	-3.325	eV/atom

a = 4.8835 Å, b = 11.8466 Å, c = 5.2846 Å
α = 90.00°, β = 90.00°, γ = 90.00°
Space group Pmm2 (No. 25)
One atom of each set of equivalent atoms:
In1 0.0000 0.0000 0.0000 x1
In2 0.5000 0.2496 0.3367 x2
Sn1 0.0000 0.5000 0.0144 x1
Au1 0.0000 0.1252 0.5046 x2
Au2 0.0000 0.2462 0.0106 x2
Au3 0.0000 0.3717 0.5159 x2
Au4 0.5000 0.0000 0.3275 x1
Au5 0.5000 0.1233 0.8287 x2
Au6 0.5000 0.3740 0.8399 x2
Au7 0.5000 0.5000 0.3483 x1

---

(3)
A plane-wave DFT calculation with GGA-PBE was carried out for a relaxed In3SnAu3 crystal.

Summary:
distance to the lowest polymorph of the same formula	0.0	meV per atom
formation energy from the elements	-0.9	eV per formula unit
DFT total energy	-3.285	eV/atom

a = 8.4329 Å, b = 8.4329 Å, c = 17.0705 Å
α = 90.00°, β = 90.00°, γ = 120.00°
Space group R-3 (No. 148, hexagonal axes)
One atom of each set of equivalent atoms:
In1 0.0092 0.2784 0.0990 x18
Sn1 0.0000 0.0000 0.3387 x6
Au1 0.0110 0.3761 0.9293 x18

---

(4)
A plane-wave DFT calculation with GGA-PBE was carried out for a relaxed InSn2Au crystal.

Summary:
formation energy from the elements	0.1	eV per formula unit
DFT total energy	-3.468	eV/atom

a = 4.9321 Å, b = 4.9321 Å, c = 18.3389 Å
α = 90.00°, β = 90.00°, γ = 90.00°
Space group I-42d (No. 122)
One atom of each set of equivalent atoms:
In1 0.0000 0.0000 0.0000 x4
Sn1 0.2031 0.2500 0.6250 x8
Au1 0.0000 0.0000 0.5000 x4

---

(5)
A plane-wave DFT calculation with GGA-PBE was carried out for a relaxed In12Sn3Au5 crystal.

Summary:
formation energy from the elements	0.3	eV per formula unit
DFT total energy	-3.046	eV/atom

a = 16.8637 Å, b = 16.8637 Å, c = 16.8637 Å
α = 90.00°, β = 90.00°, γ = 90.00°
Space group Ia-3d (No. 230)
One atom of each set of equivalent atoms:
In1 0.0225 0.0712 0.6488 x96
Sn1 0.0000 0.2500 0.1250 x24
Au1 0.0000 0.0000 0.0000 x16
Au2 0.0000 0.2500 0.3750 x24

---

(6)
A plane-wave DFT calculation with GGA-PBE was carried out for a relaxed In6Sn2Au crystal.

Summary:
formation energy from the elements	-0.4	eV per formula unit
DFT total energy	-3.121	eV/atom

a = 8.0144 Å, b = 8.0144 Å, c = 4.3230 Å
α = 90.00°, β = 90.00°, γ = 120.00°
Space group P-62m (No. 189)
One atom of each set of equivalent atoms:
In1 0.0000 0.3846 0.0000 x3
In2 0.0000 0.7543 0.5000 x3
Sn1 0.3333 0.6667 0.5000 x2
Au1 0.0000 0.0000 0.0000 x1

---

(7)
A plane-wave DFT calculation with GGA-PBE was carried out for a relaxed In12Sn5Au3 crystal.

Summary:
formation energy from the elements	0.8	eV per formula unit
DFT total energy	-3.097	eV/atom

a = 16.8420 Å, b = 16.8420 Å, c = 16.8420 Å
α = 90.00°, β = 90.00°, γ = 90.00°
Space group Ia-3d (No. 230)
One atom of each set of equivalent atoms:
In1 0.0202 0.0878 0.6507 x96
Sn1 0.0000 0.0000 0.0000 x16
Sn2 0.0000 0.2500 0.3750 x24
Au1 0.0000 0.2500 0.1250 x24

---

(8)
A plane-wave DFT calculation with GGA-PBE was carried out for a relaxed In3SnAu8 crystal.

Summary:
formation energy from the elements	-1.2	eV per formula unit
DFT total energy	-3.307	eV/atom

a = 10.7374 Å, b = 9.0454 Å, c = 7.0194 Å
α = 90.00°, β = 128.49°, γ = 90.00°
Space group Cm (No. 8)
One atom of each set of equivalent atoms:
In1 0.0000 0.0000 0.0000 x2
In2 0.3491 0.2805 0.4671 x4
Sn1 0.4718 0.0000 0.0489 x2
Au1 0.0297 0.2351 0.2994 x4
Au2 0.0342 0.5000 0.5431 x2
Au3 0.0855 0.0000 0.7098 x2
Au4 0.2481 0.5000 0.0927 x2
Au5 0.2636 0.0000 0.5291 x2
Au6 0.2656 0.2699 0.8090 x4